The following is a DFT calculation (PBE) of crystalline CsGdHf at its relaxed geometry.

abc: 8.0883 8.0883 8.0883
angles: 90.00 90.00 90.00
Closest atoms and distances in Å follow each position.
Fractional positions:
1 Cs 0.0000 0.0000 0.0000  4 Hf 3.50
2 Cs 0.0000 0.5000 0.5000  4 Hf 3.50
3 Cs 0.5000 0.0000 0.5000  4 Hf 3.50
4 Cs 0.5000 0.5000 0.0000  4 Hf 3.50
5 Gd 0.0000 0.0000 0.5000  4 Hf 3.50
6 Gd 0.0000 0.5000 0.0000  4 Hf 3.50
7 Gd 0.5000 0.0000 0.0000  4 Hf 3.50
8 Gd 0.5000 0.5000 0.5000  4 Hf 3.50
9 Hf 0.2500 0.2500 0.2500  4 Gd 3.50, 4 Cs 3.50
10 Hf 0.2500 0.7500 0.7500  4 Gd 3.50, 4 Cs 3.50
11 Hf 0.7500 0.2500 0.7500  4 Gd 3.50, 4 Cs 3.50
12 Hf 0.7500 0.7500 0.2500  4 Gd 3.50, 4 Cs 3.50

Symmetry: F-43m, No. 216

The following is a DFT calculation (PBE) of crystalline CsGdHgO3 at its relaxed geometry.

abc: 7.6752 7.6752 9.1028
angles: 90.00 90.00 152.02
Closest atoms and distances in Å follow each position.
Fractional positions:
1 Cs 0.1871 0.8129 0.7500  4 O 2.82-3.02
2 Cs 0.8129 0.1871 0.2500  4 O 2.82-3.02
3 Gd 0.5000 0.5000 0.0000  6 O 2.31-2.38
4 Gd 0.5000 0.5000 0.5000  6 O 2.31-2.38
5 Hg 0.0993 0.9007 0.2500  2 O 2.05
6 Hg 0.9007 0.0993 0.7500  2 O 2.05
7 O 0.0992 0.9008 0.0248  1 Hg 2.05
8 O 0.0992 0.9008 0.4752  1 Hg 2.05
9 O 0.4733 0.5267 0.2500  2 Gd 2.31
10 O 0.5267 0.4733 0.7500  2 Gd 2.31
11 O 0.9008 0.0992 0.5248  1 Hg 2.05
12 O 0.9008 0.0992 0.9752  1 Hg 2.05

Symmetry: Cmcm, No. 63

The following is a DFT calculation (PBE) of crystalline CsGdHo at its relaxed geometry.

abc: 8.5865 8.5865 8.5865
angles: 90.00 90.00 90.00
Closest atoms and distances in Å follow each position.
Fractional positions:
1 Cs 0.0000 0.0000 0.0000  4 Ho 3.72
2 Cs 0.0000 0.5000 0.5000  4 Ho 3.72
3 Cs 0.5000 0.0000 0.5000  4 Ho 3.72
4 Cs 0.5000 0.5000 0.0000  4 Ho 3.72
5 Gd 0.0000 0.0000 0.5000  4 Ho 3.72
6 Gd 0.0000 0.5000 0.0000  4 Ho 3.72
7 Gd 0.5000 0.0000 0.0000  4 Ho 3.72
8 Gd 0.5000 0.5000 0.5000  4 Ho 3.72
9 Ho 0.2500 0.2500 0.2500  4 Gd 3.72, 4 Cs 3.72
10 Ho 0.2500 0.7500 0.7500  4 Gd 3.72, 4 Cs 3.72
11 Ho 0.7500 0.2500 0.7500  4 Gd 3.72, 4 Cs 3.72
12 Ho 0.7500 0.7500 0.2500  4 Gd 3.72, 4 Cs 3.72

Symmetry: F-43m, No. 216

Number 1: total magnetic moment 4.21 μB per formula unit, raw total energy -42.5 eV/cell, density 5.9 g/cm3. Number 2: total magnetic moment 0.00 μB per formula unit, raw total energy -63.7 eV/cell, density 7.1 g/cm3. Number 3: total magnetic moment 3.27 μB per formula unit, raw total energy -25.2 eV/cell, density 4.8 g/cm3.